# 1
# BaAl3Re (PBE-GGA, optimized geometry)
data_BaAl3Re
_chemical_formula_sum 'Ba1 Al3 Re1'
_cell_length_a 5.3277
_cell_length_b 5.3277
_cell_length_c 5.3277
_cell_angle_alpha 90.00
_cell_angle_beta 90.00
_cell_angle_gamma 90.00
_space_group_name_H-M_alt 'P m -3 m'
_space_group_IT_number 221
_space_group_name_Hall '-P 4 2 3'
loop_
_atom_site_label
_atom_site_fract_x
_atom_site_fract_y
_atom_site_fract_z
Ba1 0.0000 0.0000 0.0000
Al1 0.0000 0.0000 0.5000
Re1 0.5000 0.5000 0.5000
# Formation energy from the elements   2804.3 meV per atom
# Total moment   0.00 Bohr magnetons per cell

# 2
# BaAl2Re (PBE-GGA, optimized geometry)
data_BaAl2Re
_chemical_formula_sum 'Ba2 Al4 Re2'
_cell_length_a 9.1984
_cell_length_b 2.9717
_cell_length_c 6.9685
_cell_angle_alpha 90.00
_cell_angle_beta 98.76
_cell_angle_gamma 90.00
_space_group_name_H-M_alt 'C 1 m 1'
_space_group_IT_number 8
_space_group_name_Hall 'C -2y'
loop_
_atom_site_label
_atom_site_fract_x
_atom_site_fract_y
_atom_site_fract_z
Ba1 0.0000 0.0000 0.0000
Al1 0.2634 0.5000 0.3416
Al2 0.4980 0.0000 0.5505
Re1 0.2310 0.0000 0.6369
# Formation energy from the elements   397.9 meV per atom
# Total moment   0.00 Bohr magnetons per cell

# 3
# BaAlRe2 (PBE-GGA, optimized geometry)
data_BaAlRe2
_chemical_formula_sum 'Ba1 Al1 Re2'
_cell_length_a 4.6454
_cell_length_b 4.6454
_cell_length_c 3.4724
_cell_angle_alpha 90.00
_cell_angle_beta 90.00
_cell_angle_gamma 90.00
_space_group_name_H-M_alt 'P 4/m m m'
_space_group_IT_number 123
_space_group_name_Hall '-P 4 2'
loop_
_atom_site_label
_atom_site_fract_x
_atom_site_fract_y
_atom_site_fract_z
Ba1 0.0000 0.0000 0.0000
Al1 0.5000 0.5000 0.0000
Re1 0.0000 0.5000 0.5000
# Formation energy from the elements   1457.0 meV per atom
# Total moment   0.00 Bohr magnetons per cell

# 4
# BaAlRe2 (PBE-GGA, optimized geometry)
data_BaAlRe2
_chemical_formula_sum 'Ba2 Al2 Re4'
_cell_length_a 3.6068
_cell_length_b 4.4258
_cell_length_c 9.6308
_cell_angle_alpha 90.00
_cell_angle_beta 90.00
_cell_angle_gamma 90.00
_space_group_name_H-M_alt 'C m m m'
_space_group_IT_number 65
_space_group_name_Hall '-C 2 2'
loop_
_atom_site_label
_atom_site_fract_x
_atom_site_fract_y
_atom_site_fract_z
Ba1 0.0000 0.0000 0.0000
Al1 0.0000 0.0000 0.5000
Re1 0.0000 0.5000 0.3015
# Formation energy from the elements   876.7 meV per atom
# Total moment   0.00 Bohr magnetons per cell

# 5
# Ba2AlRe (PBE-GGA, optimized geometry)
data_Ba2AlRe
_chemical_formula_sum 'Ba8 Al4 Re4'
_cell_length_a 7.5500
_cell_length_b 7.5500
_cell_length_c 7.5500
_cell_angle_alpha 90.00
_cell_angle_beta 90.00
_cell_angle_gamma 90.00
_space_group_name_H-M_alt 'F -4 3 m'
_space_group_IT_number 216
_space_group_name_Hall 'F -4 2 3'
loop_
_atom_site_label
_atom_site_fract_x
_atom_site_fract_y
_atom_site_fract_z
Ba1 0.0000 0.0000 0.0000
Ba2 0.2500 0.2500 0.2500
Al1 0.2500 0.2500 0.7500
Re1 0.0000 0.0000 0.5000
# Formation energy from the elements   943.7 meV per atom
# Total moment   1.25 Bohr magnetons per cell

# 6
# Ba2AlRe (PBE-GGA, optimized geometry)
data_Ba2AlRe
_chemical_formula_sum 'Ba6 Al3 Re3'
_cell_length_a 3.5106
_cell_length_b 3.5106
_cell_length_c 32.9961
_cell_angle_alpha 90.00
_cell_angle_beta 90.00
_cell_angle_gamma 120.00
_space_group_name_H-M_alt 'R -3 m'
_space_group_IT_number 166
_space_group_name_Hall '-R 3 2"'
loop_
_atom_site_label
_atom_site_fract_x
_atom_site_fract_y
_atom_site_fract_z
Ba1 0.0000 0.0000 0.2420
Al1 0.0000 0.0000 0.0000
Re1 0.0000 0.0000 0.5000
# Formation energy from the elements   1135.6 meV per atom
# Total moment   2.81 Bohr magnetons per cell

# 7
# Ba2AlRe (PBE-GGA, optimized geometry)
data_Ba2AlRe
_chemical_formula_sum 'Ba8 Al4 Re4'
_cell_length_a 11.7215
_cell_length_b 11.7215
_cell_length_c 4.9638
_cell_angle_alpha 90.00
_cell_angle_beta 90.00
_cell_angle_gamma 90.00
_space_group_name_H-M_alt 'I -4 2 d'
_space_group_IT_number 122
_space_group_name_Hall 'I -4 2bw'
loop_
_atom_site_label
_atom_site_fract_x
_atom_site_fract_y
_atom_site_fract_z
Ba1 0.0393 0.2500 0.1250
Al1 0.0000 0.0000 0.5000
Re1 0.0000 0.0000 0.0000
# Formation energy from the elements   617.3 meV per atom
# Total moment   0.00 Bohr magnetons per cell

# 8
# BaAl2Re (PBE-GGA, optimized geometry)
data_BaAl2Re
_chemical_formula_sum 'Ba2 Al4 Re2'
_cell_length_a 4.6087
_cell_length_b 4.6087
_cell_length_c 7.8160
_cell_angle_alpha 90.00
_cell_angle_beta 90.00
_cell_angle_gamma 90.00
_space_group_name_H-M_alt 'I 4/m m m'
_space_group_IT_number 139
_space_group_name_Hall '-I 4 2'
loop_
_atom_site_label
_atom_site_fract_x
_atom_site_fract_y
_atom_site_fract_z
Ba1 0.0000 0.0000 0.0000
Al1 0.0000 0.5000 0.2500
Re1 0.0000 0.0000 0.5000
# Formation energy from the elements   683.2 meV per atom
# Total moment   0.48 Bohr magnetons per cell

# 9
# BaAl2Re (PBE-GGA, optimized geometry)
data_BaAl2Re
_chemical_formula_sum 'Ba1 Al2 Re1'
_cell_length_a 5.3193
_cell_length_b 5.3193
_cell_length_c 2.8705
_cell_angle_alpha 90.00
_cell_angle_beta 90.00
_cell_angle_gamma 90.00
_space_group_name_H-M_alt 'P 4/m m m'
_space_group_IT_number 123
_space_group_name_Hall '-P 4 2'
loop_
_atom_site_label
_atom_site_fract_x
_atom_site_fract_y
_atom_site_fract_z
Ba1 0.0000 0.0000 0.0000
Al1 0.0000 0.5000 0.5000
Re1 0.5000 0.5000 0.0000
# Formation energy from the elements   857.3 meV per atom
# Total moment   0.00 Bohr magnetons per cell

# 10
# BaAl2Re (PBE-GGA, optimized geometry)
data_BaAl2Re
_chemical_formula_sum 'Ba2 Al4 Re2'
_cell_length_a 7.1351
_cell_length_b 7.9166
_cell_length_c 2.8854
_cell_angle_alpha 90.00
_cell_angle_beta 90.00
_cell_angle_gamma 90.00
_space_group_name_H-M_alt 'C m m m'
_space_group_IT_number 65
_space_group_name_Hall '-C 2 2'
loop_
_atom_site_label
_atom_site_fract_x
_atom_site_fract_y
_atom_site_fract_z
Ba1 0.0000 0.0000 0.0000
Al1 0.2500 0.2500 0.5000
Re1 0.0000 0.5000 0.0000
# Formation energy from the elements   846.8 meV per atom
# Total moment   0.00 Bohr magnetons per cell

# 11
# BaAl2Re (PBE-GGA, optimized geometry)
data_BaAl2Re
_chemical_formula_sum 'Ba4 Al8 Re4'
_cell_length_a 5.3661
_cell_length_b 5.3661
_cell_length_c 16.6625
_cell_angle_alpha 90.00
_cell_angle_beta 90.00
_cell_angle_gamma 90.00
_space_group_name_H-M_alt 'I 41/a m d'
_space_group_IT_number 141
loop_
_space_group_symop_operation_xyz
'x,y,z'
'-x,-y,-z'
'-y+1/4,x+3/4,z+1/4'
'y+1/4,-x+3/4,-z+1/4'
'-x+1/2,-y,z+1/2'
'x+1/2,y,-z+1/2'
'y+1/4,-x+1/4,z+3/4'
'-y+1/4,x+1/4,-z+3/4'
'x,-y,-z'
'-x,y,z'
'-y+1/4,-x+1/4,-z+3/4'
'y+1/4,x+1/4,z+3/4'
'-x+1/2,y,-z+1/2'
'x+1/2,-y,z+1/2'
'y+1/4,x+3/4,-z+1/4'
'-y+1/4,-x+3/4,z+1/4'
'x+1/2,y+1/2,z+1/2'
'-x+1/2,-y+1/2,-z+1/2'
'-y+3/4,x+1/4,z+3/4'
'y+3/4,-x+1/4,-z+3/4'
'-x,-y+1/2,z'
'x,y+1/2,-z'
'y+3/4,-x+3/4,z+1/4'
'-y+3/4,x+3/4,-z+1/4'
'x+1/2,-y+1/2,-z+1/2'
'-x+1/2,y+1/2,z+1/2'
'-y+3/4,-x+3/4,-z+1/4'
'y+3/4,x+3/4,z+1/4'
'-x,y+1/2,-z'
'x,-y+1/2,z'
'y+3/4,x+1/4,-z+3/4'
'-y+3/4,-x+1/4,z+3/4'
loop_
_atom_site_label
_atom_site_fract_x
_atom_site_fract_y
_atom_site_fract_z
Ba1 0.0000 0.2500 0.3750
Al1 0.0000 0.0000 0.0000
Re1 0.0000 0.2500 0.8750
# Formation energy from the elements   464.9 meV per atom
# Total moment   3.03 Bohr magnetons per cell

# 12
# BaAlRe2 (PBE-GGA, optimized geometry)
data_BaAlRe2
_chemical_formula_sum 'Ba2 Al2 Re4'
_cell_length_a 6.1678
_cell_length_b 9.5064
_cell_length_c 2.9038
_cell_angle_alpha 90.00
_cell_angle_beta 115.96
_cell_angle_gamma 90.00
_space_group_name_H-M_alt 'C 1 2/m 1'
_space_group_IT_number 12
_space_group_name_Hall '-C 2y'
loop_
_atom_site_label
_atom_site_fract_x
_atom_site_fract_y
_atom_site_fract_z
Ba1 0.0000 0.0000 0.0000
Al1 0.0000 0.5000 0.0000
Re1 0.2500 0.2500 0.5000
# Formation energy from the elements   1275.9 meV per atom
# Total moment   0.00 Bohr magnetons per cell

# 13
# BaAlRe2 (PBE-GGA, optimized geometry)
data_BaAlRe2
_chemical_formula_sum 'Ba1 Al1 Re2'
_cell_length_a 2.9495
_cell_length_b 4.9658
_cell_length_c 5.2987
_cell_angle_alpha 90.00
_cell_angle_beta 90.00
_cell_angle_gamma 90.00
_space_group_name_H-M_alt 'P m m m'
_space_group_IT_number 47
_space_group_name_Hall '-P 2 2'
loop_
_atom_site_label
_atom_site_fract_x
_atom_site_fract_y
_atom_site_fract_z
Ba1 0.0000 0.0000 0.0000
Al1 0.5000 0.0000 0.5000
Re1 0.0000 0.5000 0.5000
Re2 0.5000 0.5000 0.0000
# Formation energy from the elements   1337.9 meV per atom
# Total moment   0.00 Bohr magnetons per cell

# 14
# BaAlRe (PBE-GGA, optimized geometry)
data_BaAlRe
_chemical_formula_sum 'Ba4 Al4 Re4'
_cell_length_a 6.6859
_cell_length_b 6.6859
_cell_length_c 6.6859
_cell_angle_alpha 90.00
_cell_angle_beta 90.00
_cell_angle_gamma 90.00
_space_group_name_H-M_alt 'F -4 3 m'
_space_group_IT_number 216
_space_group_name_Hall 'F -4 2 3'
loop_
_atom_site_label
_atom_site_fract_x
_atom_site_fract_y
_atom_site_fract_z
Ba1 0.0000 0.0000 0.0000
Al1 0.0000 0.0000 0.5000
Re1 0.2500 0.2500 0.2500
# Formation energy from the elements   1061.5 meV per atom
# Total moment   0.00 Bohr magnetons per cell

# 15
# BaAl2Re (PBE-GGA, optimized geometry)
data_BaAl2Re
_chemical_formula_sum 'Ba1 Al2 Re1'
_cell_length_a 4.2309
_cell_length_b 4.2309
_cell_length_c 4.7974
_cell_angle_alpha 90.00
_cell_angle_beta 90.00
_cell_angle_gamma 90.00
_space_group_name_H-M_alt 'P 4/m m m'
_space_group_IT_number 123
_space_group_name_Hall '-P 4 2'
loop_
_atom_site_label
_atom_site_fract_x
_atom_site_fract_y
_atom_site_fract_z
Ba1 0.0000 0.0000 0.0000
Al1 0.0000 0.5000 0.5000
Re1 0.5000 0.5000 0.0000
# Formation energy from the elements   985.0 meV per atom
# Total moment   0.02 Bohr magnetons per cell

# 16
# BaAlRe2 (PBE-GGA, optimized geometry)
data_BaAlRe2
_chemical_formula_sum 'Ba2 Al2 Re4'
_cell_length_a 7.7035
_cell_length_b 4.4466
_cell_length_c 6.6119
_cell_angle_alpha 90.00
_cell_angle_beta 112.64
_cell_angle_gamma 90.00
_space_group_name_H-M_alt 'C 1 2/m 1'
_space_group_IT_number 12
_space_group_name_Hall '-C 2y'
loop_
_atom_site_label
_atom_site_fract_x
_atom_site_fract_y
_atom_site_fract_z
Ba1 0.0000 0.0000 0.0000
Al1 0.0000 0.5000 0.5000
Re1 0.1800 0.0000 0.5403
# Formation energy from the elements   205.3 meV per atom
# Total moment   0.00 Bohr magnetons per cell

# 17
# BaAlRe2 (PBE-GGA, optimized geometry)
data_BaAlRe2
_chemical_formula_sum 'Ba1 Al1 Re2'
_cell_length_a 3.1681
_cell_length_b 3.1681
_cell_length_c 8.2306
_cell_angle_alpha 90.00
_cell_angle_beta 90.00
_cell_angle_gamma 90.00
_space_group_name_H-M_alt 'P 4 m m'
_space_group_IT_number 99
_space_group_name_Hall 'P 4 -2'
loop_
_atom_site_label
_atom_site_fract_x
_atom_site_fract_y
_atom_site_fract_z
Ba1 0.0000 0.0000 0.0000
Al1 0.5000 0.5000 0.6743
Re1 0.0000 0.0000 0.4840
Re2 0.5000 0.5000 0.3230
# Formation energy from the elements   301.1 meV per atom
# Total moment   0.00 Bohr magnetons per cell

# 18
# Ba2AlRe (PBE-GGA, optimized geometry)
data_Ba2AlRe
_chemical_formula_sum 'Ba4 Al2 Re2'
_cell_length_a 12.3123
_cell_length_b 4.0654
_cell_length_c 5.4498
_cell_angle_alpha 90.00
_cell_angle_beta 116.20
_cell_angle_gamma 90.00
_space_group_name_H-M_alt 'C 1 m 1'
_space_group_IT_number 8
_space_group_name_Hall 'C -2y'
loop_
_atom_site_label
_atom_site_fract_x
_atom_site_fract_y
_atom_site_fract_z
Ba1 0.0000 0.0000 0.0000
Ba2 0.2052 0.0000 0.7047
Al1 0.4130 0.0000 0.4129
Re1 0.2822 0.5000 0.2814
# Formation energy from the elements   537.9 meV per atom
# Total moment   0.00 Bohr magnetons per cell

# 19
# BaAl2Re (PBE-GGA, optimized geometry)
data_BaAl2Re
_chemical_formula_sum 'Ba1 Al2 Re1'
_cell_length_a 3.4681
_cell_length_b 3.4681
_cell_length_c 7.7034
_cell_angle_alpha 90.00
_cell_angle_beta 90.00
_cell_angle_gamma 90.00
_space_group_name_H-M_alt 'P 4 m m'
_space_group_IT_number 99
_space_group_name_Hall 'P 4 -2'
loop_
_atom_site_label
_atom_site_fract_x
_atom_site_fract_y
_atom_site_fract_z
Ba1 0.0000 0.0000 0.0000
Al1 0.0000 0.0000 0.4256
Al2 0.5000 0.5000 0.6425
Re1 0.5000 0.5000 0.3210
# Formation energy from the elements   302.3 meV per atom
# Total moment   0.00 Bohr magnetons per cell

# 20
# BaAl3Re (PBE-GGA, optimized geometry)
data_BaAl3Re
_chemical_formula_sum 'Ba1 Al3 Re1'
_cell_length_a 4.9365
_cell_length_b 4.9365
_cell_length_c 4.9365
_cell_angle_alpha 90.00
_cell_angle_beta 90.00
_cell_angle_gamma 90.00
_space_group_name_H-M_alt 'P m -3 m'
_space_group_IT_number 221
_space_group_name_Hall '-P 4 2 3'
loop_
_atom_site_label
_atom_site_fract_x
_atom_site_fract_y
_atom_site_fract_z
Ba1 0.0000 0.0000 0.0000
Al1 0.0000 0.5000 0.5000
Re1 0.5000 0.5000 0.5000
# Formation energy from the elements   -235.0 meV per atom
# Total moment   0.00 Bohr magnetons per cell